[1]
A relaxed ErInCu crystal, computed with GGA-PBEsol.

a b c (Å): 7.3948 7.3948 3.7381
angles (deg): 90.00 90.00 120.00
Space group P-62m (No. 189)
One atom of each set of equivalent atoms:
Er: 0.0000 0.5919 0.0000 (multiplicity 3)
In: 0.0000 0.2586 0.5000 (multiplicity 3)
Cu: 0.0000 0.0000 0.0000 (multiplicity 1)
Cu: 0.3333 0.6667 0.5000 (multiplicity 2)

Computed properties:
DFT total energy in eV/cell: -40.8



[2]
A relaxed LiCuPO4 crystal, computed with GGA-PBEsol.

a b c (Å): 4.954 4.954 6.505
angles (deg): 90.00 90.00 90.00
Space group I-4 (No. 82)
One atom of each set of equivalent atoms:
Li: 0.000 0.000 0.000 (multiplicity 2)
Cu: 0.000 0.000 0.500 (multiplicity 2)
P: 0.000 0.500 0.250 (multiplicity 2)
O: 0.181 0.686 0.383 (multiplicity 8)

Computed properties:
Energy above the most stable polymorph in this dataset in eV per atom: 0.016
E_form (uncorrected) in eV per atom: -1.792
DFT total energy in eV/cell: -91.3



[3]
A relaxed Ba2H2S crystal, computed with GGA-PBEsol.

a b c (Å): 4.029 4.029 13.589
angles (deg): 90.00 90.00 90.00
Space group I4/mmm (No. 139)
One atom of each set of equivalent atoms:
Ba: 0.000 0.000 0.130 (multiplicity 4)
H: 0.000 0.500 0.250 (multiplicity 4)
S: 0.000 0.000 0.500 (multiplicity 2)

Computed properties:
DFT total energy in eV/cell: -41.3